1.
A plane-wave DFT calculation with PBE-GGA was carried out for crystalline Tb4GeSeS2 at its relaxed geometry.

Lattice parameters (Å, degrees): 4.0439 6.9645 7.0353 70.45 90.00 90.00
Closest atoms and distances in Å follow each position.
Fractional coordinates of all 8 atoms:
Ge (0.5000, 0.5000, 0.0000)  6 Tb 2.84-2.85
S (0.5000, 0.0000, 0.5000)  6 Tb 2.86-2.88
S (0.0000, 0.0000, 0.0000)  6 Tb 2.79-2.81
Tb (0.0000, 0.2469, 0.2449)  3 S 2.81-2.86, 2 Ge 2.85, 1 Se 2.91
Tb (0.5000, 0.2405, 0.7629)  3 S 2.79-2.88, 1 Ge 2.84, 2 Se 2.92
Tb (0.0000, 0.7531, 0.7551)  3 S 2.81-2.86, 2 Ge 2.85, 1 Se 2.91
Se (0.0000, 0.5000, 0.5000)  6 Tb 2.91-2.92
Tb (0.5000, 0.7595, 0.2371)  3 S 2.79-2.88, 1 Ge 2.84, 2 Se 2.92

Calculated values
Symmetry: P2/m, No. 10

***

2.
A plane-wave DFT calculation with PBE-GGA was carried out for crystalline ScMoW2 at its relaxed geometry.

Lattice parameters (Å, degrees): 5.4190 5.4190 5.4190 146.01 129.82 62.00
Closest atoms and distances in Å follow each position.
Fractional coordinates of all 4 atoms:
W (0.5133, 0.5133, 0.0000)  2 Mo 2.71, 4 W 2.80, 2 Sc 2.91
W (0.9867, 0.9867, 0.0000)  2 Mo 2.71, 4 W 2.80, 2 Sc 2.91
Sc (0.2500, 0.7500, 0.5000)  4 Mo 2.79, 4 W 2.91
Mo (0.7500, 0.2500, 0.5000)  4 W 2.71, 4 Sc 2.79

Calculated values
Symmetry: Immm, No. 71
Relative energy among the computed polymorphs (kcal/mol of atoms): 0.000

***

3.
A plane-wave DFT calculation with PBE-GGA was carried out for crystalline Tb2NdEr5Th at its relaxed geometry.

Lattice parameters (Å, degrees): 8.7275 8.7275 9.7331 116.64 116.64 90.00
Closest atoms and distances in Å follow each position.
Fractional coordinates of all 18 atoms:
Nd (0.2500, 0.7500, 0.5000)  4 Er 3.10
Er (0.4272, 0.3452, 0.2724)  1 Tb 2.99, 1 Nd 3.10
Er (0.0000, 0.0000, 0.0000)  4 Tb 3.51, 8 Er 3.74, 2 Th 3.76
Er (0.5000, 0.5000, 0.0000)  4 Tb 3.51, 8 Er 3.74, 2 Th 3.76
Th (0.7500, 0.7500, 0.5000)  10 Er 3.57-3.76
Er (0.5728, 0.6548, 0.7276)  1 Tb 2.99, 1 Nd 3.10
Th (0.2500, 0.2500, 0.5000)  10 Er 3.57-3.76
Er (0.0728, 0.5728, 0.7276)  1 Tb 2.99, 1 Nd 3.10
Tb (0.3851, 0.8851, 0.0000)  1 Tb 2.84, 2 Er 2.99
Er (0.3452, 0.8452, 0.2724)  1 Tb 2.99, 1 Nd 3.10
Tb (0.1149, 0.3851, 0.0000)  1 Tb 2.84, 2 Er 2.99
Er (0.6548, 0.1548, 0.7276)  1 Tb 2.99, 1 Nd 3.10
Er (0.8452, 0.9272, 0.2724)  1 Tb 2.99, 1 Nd 3.10
Er (0.1548, 0.0728, 0.7276)  1 Tb 2.99, 1 Nd 3.10
Tb (0.6149, 0.1149, 0.0000)  1 Tb 2.84, 2 Er 2.99
Nd (0.7500, 0.2500, 0.5000)  4 Er 3.10
Er (0.9272, 0.4272, 0.2724)  1 Tb 2.99, 1 Nd 3.10
Tb (0.8851, 0.6149, 0.0000)  1 Tb 2.84, 2 Er 2.99

Calculated values
Symmetry: I4/mcm, No. 140

***

| no. | calculated total energy (eV/atom) |
| --- | --- |
| 1 | -6.080 |
| 2 | -10.678 |
| 3 | -4.611 |